## 1
VASP calculation (PBE-GGA) on a relaxed structure of TbYTm5.

Lattice parameters (Å, degrees): 5.7348 7.8457 7.8457 65.86 68.56 68.56
Element x y z (fractional)
1 Tb 0.0000 0.0000 0.0000
2 Tm 0.0000 0.5000 0.5000
3 Tm 0.5000 0.1776 0.8224
4 Tm 0.7442 0.2558 0.2558
5 Tm 0.5000 0.8224 0.1776
6 Y 0.5000 0.5000 0.5000
7 Tm 0.2558 0.7442 0.7442

Results
Total moment ... 0.00 μB per formula unit

## 2
VASP calculation (PBE-GGA) on a relaxed structure of TbYTm5.

Lattice parameters (Å, degrees): 6.6613 6.6613 13.6107 61.37 61.37 60.33
Element x y z (fractional)
1 Tm 0.3871 0.1715 0.2498
2 Tm 0.8285 0.6129 0.2502
3 Tm 0.6943 0.6501 0.0005
4 Y 0.0000 0.0000 0.0000
5 Tm 0.3057 0.3499 0.9995
6 Tm 0.6501 0.6943 0.5005
7 Tm 0.1715 0.3871 0.7498
8 Tb 0.7247 0.2753 0.7500
9 Tm 0.6129 0.8285 0.7502
10 Tm 0.1661 0.8339 0.7500
11 Tm 0.3499 0.3057 0.4995
12 Y 0.0000 0.0000 0.5000
13 Tm 0.8339 0.1661 0.2500
14 Tb 0.2753 0.7247 0.2500

Results
Total moment ... 0.00 μB per formula unit

Relative to the most stable one, in eV/atom, the structures come out at 1 0.972; 2 0.000.

## 1
VASP calculation (PBE-GGA) on a relaxed structure of Tb2Y3Tm3.

Lattice parameters (Å, degrees): 5.6940 5.9863 8.5235 110.83 109.51 90.00
Element x y z (fractional)
1 Tb 0.7496 0.6831 0.4992
2 Tb 0.2504 0.3169 0.5008
3 Y 0.0000 0.0000 0.0000
4 Tm 0.5000 0.5000 0.0000
5 Tm 0.6299 0.0771 0.2599
6 Y 0.1311 0.6866 0.2622
7 Tm 0.3701 0.9229 0.7401
8 Y 0.8689 0.3134 0.7378

Results
Total moment ... 0.00 μB per formula unit

## 2
VASP calculation (PBE-GGA) on a relaxed structure of Tb2Y3Tm3.

Lattice parameters (Å, degrees): 6.4098 6.4098 6.4098 90.01 90.01 89.99
Each line ends with the local moment (μB).
Element x y z (fractional)
1 Tm 0.5000 0.2510 0.2510  0.53
2 Tm 0.2510 0.7490 0.5000  0.53
3 Tm 0.7490 0.5000 0.7490  0.53
4 Tb 0.2519 0.2519 0.7481  0.68
5 Y 0.2509 0.7491 0.0000  0.39
6 Y 0.0000 0.2509 0.2509  0.39
7 Y 0.7491 0.0000 0.7491  0.39
8 Tb 0.7481 0.7481 0.2519  0.68

Results
Total moment ... 6.40 μB per formula unit

Relative to the most stable one, in eV/atom, the structures come out at 1 0.000; 2 0.149.

## 1
VASP calculation (PBE-GGA) on a relaxed structure of Tb5YTm.

Lattice parameters (Å, degrees): 6.7549 6.7549 13.5458 62.31 62.31 59.67
Element x y z (fractional)
1 Tb 0.1569 0.3917 0.7578
2 Tb 0.1664 0.8336 0.7500
3 Tb 0.6083 0.8431 0.7422
4 Tb 0.3917 0.1569 0.2578
5 Tb 0.8431 0.6083 0.2422
6 Tb 0.6853 0.6592 0.9972
7 Tb 0.3408 0.3147 0.5028
8 Tb 0.8336 0.1664 0.2500
9 Y 0.7204 0.2796 0.7500
10 Y 0.2796 0.7204 0.2500
11 Tb 0.6592 0.6853 0.4972
12 Tm 0.0000 0.0000 0.5000
13 Tm 0.0000 0.0000 0.0000
14 Tb 0.3147 0.3408 0.0028

Results
Total moment ... 0.00 μB per formula unit

## 2
VASP calculation (PBE-GGA) on a relaxed structure of Tb5YTm.

Lattice parameters (Å, degrees): 5.7789 7.9292 7.9292 65.97 68.63 68.63
Element x y z (fractional)
1 Tb 0.5000 0.1774 0.8226
2 Tb 0.5000 0.8226 0.1774
3 Tb 0.2537 0.7463 0.7463
4 Y 0.5000 0.5000 0.5000
5 Tb 0.7463 0.2537 0.2537
6 Tb 0.0000 0.5000 0.5000
7 Tm 0.0000 0.0000 0.0000

Results
Total moment ... 0.00 μB per formula unit

Relative to the most stable one, in eV/atom, the structures come out at 1 0.000; 2 0.911.

## 1
VASP calculation (PBE-GGA) on a relaxed structure of Tb12Y7Tm.

Lattice parameters (Å, degrees): 6.7039 10.9723 10.9722 64.04 78.25 101.75
Element x y z (fractional)
1 Tb 0.5142 0.7877 0.4254
2 Y 0.6174 0.6955 0.1600
3 Y 0.0781 0.8555 0.3045
4 Tb 0.2726 0.5244 0.9387
5 Y 0.9219 0.1445 0.6955
6 Y 0.5000 0.0000 0.0000
7 Tb 0.2518 0.4631 0.4756
8 Y 0.7775 0.1600 0.1445
9 Tb 0.4858 0.2123 0.5746
10 Tb 0.2113 0.9387 0.5369
11 Tb 0.7266 0.7869 0.7877
12 Tb 0.7887 0.0613 0.4631
13 Tm 0.0000 0.0000 0.0000
14 Tb 0.9397 0.4254 0.7869
15 Tb 0.0603 0.5746 0.2131
16 Tb 0.7274 0.4756 0.0613
17 Y 0.2225 0.8400 0.8555
18 Tb 0.2734 0.2131 0.2123
19 Tb 0.7482 0.5369 0.5244
20 Y 0.3826 0.3045 0.8400

Results
Total moment ... 0.00 μB per formula unit

## 2
VASP calculation (PBE-GGA) on a relaxed structure of Tb12Y7Tm.

Lattice parameters (Å, degrees): 8.7125 8.7125 8.7125 94.86 94.86 94.86
Element x y z (fractional)
1 Y 0.9842 0.9191 0.6514
2 Tb 0.3182 0.1883 0.7496
3 Tb 0.2504 0.6818 0.8117
4 Tb 0.7496 0.3182 0.1883
5 Tb 0.1452 0.4128 0.4765
6 Y 0.3486 0.0158 0.0809
7 Tb 0.1883 0.7496 0.3182
8 Y 0.0809 0.3486 0.0158
9 Tb 0.5235 0.8548 0.5871
10 Tb 0.8548 0.5871 0.5235
11 Tb 0.4765 0.1452 0.4128
12 Y 0.0158 0.0809 0.3486
13 Tb 0.6818 0.8117 0.2504
14 Tm 0.0000 0.0000 0.0000
15 Y 0.9191 0.6514 0.9842
16 Y 0.5000 0.5000 0.5000
17 Tb 0.5871 0.5235 0.8548
18 Y 0.6514 0.9842 0.9191
19 Tb 0.8117 0.2504 0.6818
20 Tb 0.4128 0.4765 0.1452

Results
Total moment ... 0.00 μB per formula unit

Relative to the most stable one, in eV/atom, the structures come out at 1 0.021; 2 0.000.

## 1
VASP calculation (PBE-GGA) on a relaxed structure of Tb3Y2Tm5.

Lattice parameters (Å, degrees): 9.4488 9.4488 11.0093 126.03 126.03 68.24
Element x y z (fractional)
1 Tb 0.2296 0.9796 0.9593
2 Tm 0.8686 0.6173 0.7346
3 Y 0.4737 0.7219 0.7437
4 Tm 0.1314 0.3827 0.2654
5 Tm 0.6340 0.8828 0.2654
6 Y 0.5263 0.2781 0.2563
7 Tm 0.3660 0.1172 0.7346
8 Tm 0.5262 0.2762 0.5524
9 Tm 0.7302 0.4802 0.9605
10 Tb 0.0274 0.7758 0.2547
11 Tm 0.4738 0.7238 0.4476
12 Tb 0.2727 0.5211 0.7453
13 Tm 0.2698 0.5198 0.0395
14 Y 0.2300 0.9782 0.2563
15 Tb 0.7273 0.4789 0.2547
16 Tb 0.7704 0.0204 0.0407
17 Tm 0.0250 0.7750 0.5500
18 Tb 0.9726 0.2242 0.7453
19 Y 0.7700 0.0218 0.7437
20 Tm 0.9750 0.2250 0.4500

Results
Total moment ... 0.00 μB per formula unit

## 2
VASP calculation (PBE-GGA) on a relaxed structure of Tb3Y2Tm5.

Lattice parameters (Å, degrees): 6.1981 11.0369 11.0369 100.35 73.69 73.69
Element x y z (fractional)
1 Tm 0.0020 0.7480 0.7480
2 Tb 0.7500 0.0000 0.0000
3 Tm 0.2500 0.5000 0.5000
4 Tm 0.0987 0.5565 0.2461
5 Tm 0.9980 0.2520 0.2520
6 Y 0.1001 0.7432 0.0566
7 Y 0.8999 0.2568 0.9434
8 Tm 0.4013 0.7539 0.4435
9 Tb 0.8405 0.9090 0.4101
10 Y 0.3999 0.9434 0.2568
11 Tm 0.9013 0.4435 0.7539
12 Tb 0.1595 0.0910 0.5899
13 Y 0.6001 0.0566 0.7432
14 Tb 0.3405 0.4101 0.9090
15 Tm 0.7500 0.5000 0.5000
16 Tm 0.4980 0.2520 0.2520
17 Tb 0.2500 0.0000 0.0000
18 Tm 0.5987 0.2461 0.5565
19 Tm 0.5020 0.7480 0.7480
20 Tb 0.6595 0.5899 0.0910

Results
Total moment ... 0.00 μB per formula unit

Relative to the most stable one, in eV/atom, the structures come out at 1 0.000; 2 0.152.

## 1
VASP calculation (PBE-GGA) on a relaxed structure of Tb8YTm2.

Lattice parameters (Å, degrees): 9.1637 9.9552 9.9552 43.29 40.20 40.20
Element x y z (fractional)
1 Tb 0.8585 0.2103 0.6500
2 Tb 0.6377 0.6809 0.6809
3 Tb 0.8585 0.6500 0.2103
4 Tb 0.7200 0.3285 0.3285
5 Tb 0.1415 0.3500 0.7897
6 Y 0.0000 0.0000 0.0000
7 Tb 0.1415 0.7897 0.3500
8 Tm 0.6664 0.8557 0.8557
9 Tb 0.3623 0.3191 0.3191
10 Tb 0.2800 0.6715 0.6715
11 Tm 0.3336 0.1443 0.1443

Results
Total moment ... 0.00 μB per formula unit

## 2
VASP calculation (PBE-GGA) on a relaxed structure of Tb8YTm2.

Lattice parameters (Å, degrees): 5.8940 9.0446 9.3805 61.18 73.59 54.12
Element x y z (fractional)
1 Tb 0.1918 0.9030 0.7550
2 Tm 0.0000 0.6891 0.6218
3 Tb 0.5000 0.2048 0.5904
4 Y 0.5000 0.0000 0.0000
5 Tb 0.5000 0.7952 0.4096
6 Tb 0.2903 0.4398 0.0000
7 Tb 0.7097 0.5602 0.0000
8 Tb 0.8082 0.0970 0.2450
9 Tb 0.8082 0.3420 0.7550
10 Tm 0.0000 0.3109 0.3782
11 Tb 0.1918 0.6580 0.2450

Results
Total moment ... 0.00 μB per formula unit

Relative to the most stable one, in eV/atom, the structures come out at 1 0.000; 2 0.019.

## 1
VASP calculation (PBE-GGA) on a relaxed structure of Tb2YTm8.

Lattice parameters (Å, degrees): 6.5412 6.5510 8.8201 99.51 111.77 90.00
Element x y z (fractional)
1 Y 0.0000 0.0000 0.0000
2 Tm 0.1738 0.5939 0.8237
3 Tm 0.3500 0.4061 0.1763
4 Tm 0.5883 0.9028 0.1765
5 Tm 0.4117 0.0972 0.8235
6 Tm 0.2033 0.8019 0.4066
7 Tm 0.6500 0.5939 0.8237
8 Tb 0.2438 0.3119 0.4877
9 Tb 0.7562 0.6881 0.5123
10 Tm 0.7967 0.1981 0.5934
11 Tm 0.8262 0.4061 0.1763

Results
Total moment ... 0.00 μB per formula unit

## 2
VASP calculation (PBE-GGA) on a relaxed structure of Tb2YTm8.

Lattice parameters (Å, degrees): 5.8378 9.0552 9.4433 61.35 73.00 52.43
Element x y z (fractional)
1 Tm 0.2073 0.6499 0.2523
2 Tm 0.7203 0.5419 0.0000
3 Tm 0.7927 0.0977 0.2523
4 Tb 0.0000 0.3102 0.3796
5 Y 0.5000 0.0000 0.0000
6 Tb 0.0000 0.6898 0.6204
7 Tm 0.5000 0.7975 0.4049
8 Tm 0.2797 0.4581 0.0000
9 Tm 0.5000 0.2025 0.5951
10 Tm 0.7927 0.3501 0.7477
11 Tm 0.2073 0.9023 0.7477

Results
Total moment ... 0.00 μB per formula unit

Relative to the most stable one, in eV/atom, the structures come out at 1 0.022; 2 0.000.

## 1
VASP calculation (PBE-GGA) on a relaxed structure of TbTmZn4.

Lattice parameters (Å, degrees): 5.4415 5.4415 5.4415 60.00 60.00 60.00
Element x y z (fractional)
1 Zn 0.1249 0.6250 0.6250
2 Tb 0.2500 0.2500 0.2500
3 Tm 0.0000 0.0000 0.0000
4 Zn 0.6250 0.1249 0.6250
5 Zn 0.6250 0.6250 0.1249
6 Zn 0.6250 0.6250 0.6250

Results
Total moment ... 0.00 μB per formula unit

## 2
VASP calculation (PBE-GGA) on a relaxed structure of TbTmZn4.

Lattice parameters (Å, degrees): 3.7296 3.8026 9.6687 90.04 90.00 89.99
Element x y z (fractional)
1 Tb 0.5015 0.4975 0.9981
2 Zn 0.0013 0.4971 0.7439
3 Zn 0.5013 0.9972 0.7460
4 Zn 0.0013 0.4973 0.2526
5 Zn 0.5011 0.9976 0.2500
6 Tm 0.0014 0.9971 0.4981

Results
Total moment ... 0.00 μB per formula unit

## 3
VASP calculation (PBE-GGA) on a relaxed structure of TbTmZn4.

Lattice parameters (Å, degrees): 4.4811 5.6513 5.6513 75.67 66.64 66.64
Element x y z (fractional)
1 Zn 0.6666 0.0830 0.5838
2 Tb 0.0000 0.5000 0.5000
3 Zn 0.3334 0.9170 0.4162
4 Zn 0.6666 0.5838 0.0830
5 Tm 0.0000 0.0000 0.0000
6 Zn 0.3334 0.4162 0.9170

Results
Total moment ... 0.00 μB per formula unit

Relative to the most stable one, in eV/atom, the structures come out at 1 0.043; 2 0.396; 3 0.000.

## 1
VASP calculation (PBE-GGA) on a relaxed structure of Tb2Tm3Zn2.

Lattice parameters (Å, degrees): 4.6864 6.0291 8.0122 113.59 90.00 112.87
Element x y z (fractional)
1 Tb 0.8654 0.7308 0.2133
2 Tb 0.1346 0.2692 0.7867
3 Zn 0.1498 0.2995 0.1887
4 Tm 0.6339 0.2678 0.4579
5 Tm 0.5000 0.0000 0.0000
6 Tm 0.3661 0.7322 0.5421
7 Zn 0.8502 0.7005 0.8113

Results
Total moment ... 0.00 μB per formula unit

## 2
VASP calculation (PBE-GGA) on a relaxed structure of Tb2Tm3Zn2.

Lattice parameters (Å, degrees): 3.5211 3.5212 14.8447 96.84 83.19 90.00
Element x y z (fractional)
1 Tm 0.1194 0.8793 0.7613
2 Zn 0.5594 0.4392 0.8812
3 Tb 0.7069 0.2928 0.5863
4 Tb 0.2931 0.7072 0.4137
5 Tm 0.8806 0.1207 0.2387
6 Tm 0.0000 0.0000 0.0000
7 Zn 0.4406 0.5608 0.1188

Results
Total moment ... 0.00 μB per formula unit

Relative to the most stable one, in eV/atom, the structures come out at 1 0.104; 2 0.000.

## 1
VASP calculation (PBE-GGA) on a relaxed structure of TbTm2Zn2.

Lattice parameters (Å, degrees): 5.2228 6.1063 7.9962 90.00 109.06 90.00
Element x y z (fractional)
1 Tm 0.0427 0.2497 0.0854
2 Tb 0.5829 0.9045 0.1659
3 Tm 0.8006 0.1523 0.6012
4 Zn 0.7764 0.6457 0.5527
5 Tb 0.4171 0.4045 0.8341
6 Tm 0.9573 0.7497 0.9146
7 Tm 0.1994 0.6523 0.3988
8 Zn 0.6232 0.4134 0.2464
9 Zn 0.3768 0.9134 0.7536
10 Zn 0.2236 0.1457 0.4473

Results
Total moment ... 0.00 μB per formula unit

## 2
VASP calculation (PBE-GGA) on a relaxed structure of TbTm2Zn2.

Lattice parameters (Å, degrees): 3.5675 5.1191 13.2058 90.00 97.76 90.00
Element x y z (fractional)
1 Tb 0.8548 0.7500 0.7123
2 Tb 0.1452 0.2500 0.2877
3 Tm 0.0463 0.7500 0.0924
4 Zn 0.3596 0.2500 0.7200
5 Tm 0.9537 0.2500 0.9076
6 Zn 0.6404 0.7500 0.2800
7 Zn 0.5476 0.2500 0.0955
8 Zn 0.4524 0.7500 0.9045
9 Tm 0.2323 0.7500 0.4652
10 Tm 0.7677 0.2500 0.5348

Results
Total moment ... 0.00 μB per formula unit

Relative to the most stable one, in eV/atom, the structures come out at 1 0.074; 2 0.000.